Crystalline Hg2PbAu at its relaxed geometry. Source: the Alexandria database, functional PBE-GGA.

Geometry as CIF:
```
data_Hg2PbAu
_space_group_name_H-M_alt 'C 1 m 1'
_space_group_IT_number 8
_space_group_name_Hall 'C -2y'
_cell_length_a 6.674
_cell_length_b 3.351
_cell_length_c 9.457
_cell_angle_alpha 90.00
_cell_angle_beta 105.27
_cell_angle_gamma 90.00
loop_
_atom_site_label
_atom_site_type_symbol
_atom_site_fract_x
_atom_site_fract_y
_atom_site_fract_z
Hg1 Hg 0.000 0.000 0.000
Hg2 Hg 0.209 0.000 0.559
Pb1 Pb 0.296 0.500 0.279
Au1 Au 0.106 0.500 0.779
```

Output
N(E_F)   0.261 states/eV/atom
Calculated formation energy   0.079 eV per atom
Spin magnetization   0.00 μB per atom
DFT total energy   -1.818 eV per atom